Run 1
Entry from the Alexandria database: a relaxed La4TcSb crystal (PBE).

abc: 6.3030 6.3030 6.3030
angles: 60.00 60.00 60.00
Element x y z (fractional)
La  0.1254  0.1254  0.1254
La  0.1254  0.1254  0.6237
La  0.1254  0.6237  0.1254
La  0.6237  0.1254  0.1254
Tc  0.5000  0.5000  0.5000
Sb  0.7500  0.7500  0.7500

Calculated values
ρ = 7.272 Mg/m³

Run 2
Entry from the Alexandria database: a relaxed La4TcSb crystal (PBE).

abc: 8.2165 8.2165 6.5068
angles: 100.34 100.34 114.30
Element x y z (fractional)
La  0.0613  0.7227  0.9504
La  0.2117  0.3610  0.6106
La  0.2773  0.9387  0.5496
La  0.3610  0.2117  0.1106
La  0.6390  0.7883  0.8894
La  0.7227  0.0613  0.4504
La  0.7883  0.6390  0.3894
La  0.9387  0.2773  0.0496
Tc  0.0008  0.9992  0.2500
Tc  0.9992  0.0008  0.7500
Sb  0.3766  0.6234  0.2500
Sb  0.6234  0.3766  0.7500

Calculated values
ρ = 6.816 Mg/m³

run 2 ends up most stable, edging out the next structure by 91.8 kJ/mol of atoms.

Run 1
Entry from the Alexandria database: a relaxed LaTcSbTe2 crystal (PBE).

abc: 5.4803 5.4803 4.9726
angles: 90.00 90.00 90.00
Element x y z (fractional)
La  0.0000  0.0000  0.0000
Tc  0.5000  0.5000  0.5000
Sb  0.5000  0.5000  0.0000
Te  0.0000  0.5000  0.5000
Te  0.5000  0.0000  0.5000

Calculated values
ρ = 6.825 Mg/m³

Run 2
Entry from the Alexandria database: a relaxed LaTcSbTe2 crystal (PBE).

abc: 6.0439 6.0439 6.1128
angles: 90.00 90.00 90.00
Element x y z (fractional)
La  0.0000  0.0000  0.0000
Tc  0.5000  0.5000  0.5000
Sb  0.0000  0.0000  0.5000
Te  0.0000  0.5000  0.0000
Te  0.5000  0.0000  0.0000

Calculated values
ρ = 4.565 Mg/m³

run 1 ends up most stable, edging out the next structure by 108.6 kJ/mol of atoms.